Entry 1:
Compound: TbHfGa2Pt4
Source: OQMD via LeMat-Bulk
Functional: PBE-GGA
Structure: relaxed

Structure (POSCAR):
```
TbHfGa2Pt4
1.0
4.339 0.000 0.000
-2.170 3.758 0.000
0.000 0.000 8.953
Tb Hf Ga Pt
1 1 2 4
Direct
0.000 0.000 0.000
0.667 0.333 0.500
0.333 0.667 0.251
0.333 0.667 0.749
0.000 0.000 0.347
0.000 0.000 0.653
0.667 0.333 0.176
0.667 0.333 0.824
```

Computed properties:
crystal system	hexagonal
density	14.299	g cm⁻³
uncorrected energy	-6.62	eV per atom
M_tot	0.004	μB per cell

***

Entry 2:
Compound: LaCuSbIr
Source: OQMD via LeMat-Bulk
Functional: PBE-GGA
Structure: relaxed

Structure (POSCAR):
```
LaCuSbIr
1.0
0.000 3.491 3.491
3.491 0.000 3.491
3.491 3.491 0.000
La Cu Sb Ir
1 1 1 1
Direct
0.000 0.000 0.000
0.500 0.500 0.500
0.250 0.250 0.250
0.750 0.750 0.750
```

Computed properties:
crystal system	cubic
density	10.075	g cm⁻³
relative energy among the computed polymorphs	315.9	meV per atom
M_tot	0.000	μB per cell

***

Entry 3:
Compound: Y3Mg2AlCuPd2
Source: OQMD via LeMat-Bulk
Functional: PBE-GGA
Structure: relaxed

Structure (POSCAR):
```
Y3Mg2AlCuPd2
1.0
3.954 0.000 0.000
0.000 6.468 3.702
0.000 -6.468 3.702
Y Mg Al Cu Pd
3 2 1 1 2
Direct
0.000 0.000 0.000
0.000 0.162 0.566
0.000 0.566 0.162
0.500 0.573 0.814
0.500 0.814 0.573
0.500 0.335 0.335
0.000 0.556 0.556
0.500 0.239 0.913
0.500 0.913 0.239
```

Computed properties:
crystal system	orthorhombic
density	5.427	g cm⁻³
uncorrected energy	-5.09	eV per atom
M_tot	0.017	μB per cell

***

Entry 4:
Compound: BaReClO4
Source: OQMD via LeMat-Bulk
Functional: PBE-GGA
Structure: relaxed

Structure (POSCAR):
```
BaReClO4
1.0
19.469 0.000 0.000
0.000 5.731 0.000
0.000 0.000 4.588
Ba Re Cl O
4 4 4 16
Direct
0.091 0.250 0.244
0.409 0.750 0.744
0.591 0.250 0.256
0.909 0.750 0.756
0.184 0.750 0.653
0.316 0.250 0.153
0.684 0.750 0.847
0.816 0.250 0.347
0.019 0.750 0.255
0.481 0.250 0.755
0.519 0.750 0.245
0.981 0.250 0.745
0.140 0.004 0.761
0.140 0.496 0.761
0.184 0.750 0.274
0.231 0.250 0.274
0.269 0.750 0.774
0.316 0.250 0.774
0.360 0.504 0.261
0.360 0.996 0.261
0.640 0.004 0.739
0.640 0.496 0.739
0.684 0.750 0.226
0.731 0.250 0.226
0.769 0.750 0.726
0.816 0.250 0.726
0.860 0.504 0.239
0.860 0.996 0.239
```

Computed properties:
crystal system	orthorhombic
density	5.488	g cm⁻³
uncorrected energy	-7.25	eV per atom
M_tot	0.001	μB per cell